First-principles (PBE) data for a relaxed structure of KTaI2O8, as listed in Alexandria via LeMat-Bulk. Values from VASP.

```
&SYSTEM
  ibrav = 0, nat = 12, ntyp = 4
/
ATOMIC_SPECIES
O 16.00 O.upf
I 126.90 I.upf
K 39.10 K.upf
Ta 180.95 Ta.upf
CELL_PARAMETERS angstrom
5.602 0.000 0.000
2.801 5.861 0.684
2.801 3.003 6.200
ATOMIC_POSITIONS crystal
O 0.144 0.012 0.207
I 0.276 0.255 0.194
O 0.636 0.012 0.207
O 0.364 0.988 0.793
O 0.682 0.521 0.114
O 0.318 0.479 0.886
O 0.856 0.988 0.793
O 0.908 0.389 0.795
O 0.092 0.611 0.205
I 0.724 0.745 0.806
K 0.500 0.500 0.500
Ta 0.000 0.000 0.000
```

Output
Crystal system: monoclinic
D(E_F) (states/eV/cell): 0.00
Space-group type: C2/m, No. 12
Calculated volume (A^3/atom): 16.00
Uncorrected energy (eV per cell): -69.78
Energy relative to the elements, uncorrected (eV/atom): -1.17



First-principles (PBE) data for a relaxed structure of KTaIO2, as listed in Alexandria via LeMat-Bulk. Values from VASP.

```
&SYSTEM
  ibrav = 0, nat = 5, ntyp = 4
/
ATOMIC_SPECIES
O 16.00 O.upf
K 39.10 K.upf
I 126.90 I.upf
Ta 180.95 Ta.upf
CELL_PARAMETERS angstrom
-1.438 -2.898 -2.603
1.634 -2.968 2.401
-5.038 -0.275 3.088
ATOMIC_POSITIONS crystal
O 0.000 0.500 0.000
K 0.500 0.500 0.500
I 0.000 0.000 0.500
O 0.500 0.000 0.000
Ta 0.000 0.000 0.000
```

Output
Crystal system: tetragonal
D(E_F) (states/eV/cell): 1.90
Polymorph energy (0 for the lowest one) (meV/atom): 0
Space-group type: P4/mmm, No. 123
Calculated volume (A^3/atom): 20.40
Uncorrected energy (eV per cell): -31.87
Energy relative to the elements, uncorrected (eV/atom): -1.49



First-principles (PBE) data for a relaxed structure of K2TbIO6, as listed in Alexandria via LeMat-Bulk. Values from VASP.

```
&SYSTEM
  ibrav = 0, nat = 20, ntyp = 4
/
ATOMIC_SPECIES
O 16.00 O.upf
K 39.10 K.upf
Tb 158.93 Tb.upf
I 126.90 I.upf
CELL_PARAMETERS angstrom
5.895 0.000 0.000
0.000 5.895 0.000
0.000 0.000 8.337
ATOMIC_POSITIONS crystal
O 0.772 0.979 0.000
O 0.728 0.021 0.500
O 0.228 0.522 0.000
K 0.000 0.250 0.750
O 0.500 0.250 0.728
O 0.728 0.478 0.500
K 0.000 0.250 0.250
O 0.272 0.478 0.500
Tb 0.500 0.250 0.000
K 0.500 0.750 0.750
O 0.000 0.750 0.772
K 0.500 0.750 0.250
O 0.272 0.021 0.500
Tb 0.000 0.750 0.500
I 0.000 0.750 0.000
O 0.000 0.750 0.228
O 0.228 0.979 0.000
O 0.772 0.522 0.000
O 0.500 0.250 0.272
I 0.500 0.250 0.500
```

Output
Crystal system: cubic
D(E_F) (states/eV/cell): 0.00
Space-group type: Fm-3m, No. 225
Calculated volume (A^3/atom): 14.48
Uncorrected energy (eV per cell): -110.15
Energy relative to the elements, uncorrected (eV/atom): -1.69



First-principles (PBE) data for a relaxed structure of KTbIO6, as listed in Alexandria via LeMat-Bulk. Values from VASP.

```
&SYSTEM
  ibrav = 0, nat = 9, ntyp = 4
/
ATOMIC_SPECIES
O 16.00 O.upf
I 126.90 I.upf
K 39.10 K.upf
Tb 158.93 Tb.upf
CELL_PARAMETERS angstrom
-2.893 -0.233 4.959
-3.697 -4.290 0.971
4.222 -3.114 2.318
ATOMIC_POSITIONS crystal
O 0.357 0.593 0.311
I 0.333 0.333 0.500
O 0.357 0.050 0.689
O 0.593 0.357 0.689
K 0.000 0.000 0.000
Tb 0.667 0.667 0.500
O 0.050 0.357 0.311
O 0.050 0.593 0.689
O 0.593 0.050 0.311
```

Output
Crystal system: trigonal
D(E_F) (states/eV/cell): 6.35
Space-group type: P312, No. 149
Calculated volume (A^3/atom): 18.22
Uncorrected energy (eV per cell): -49.46
Energy relative to the elements, uncorrected (eV/atom): -1.38



First-principles (PBE) data for a relaxed structure of KTcIO2, as listed in Alexandria via LeMat-Bulk. Values from VASP.

```
&SYSTEM
  ibrav = 0, nat = 5, ntyp = 4
/
ATOMIC_SPECIES
O 16.00 O.upf
I 126.90 I.upf
K 39.10 K.upf
Tc 98.00 Tc.upf
CELL_PARAMETERS angstrom
4.590 0.000 0.000
0.000 4.590 0.000
0.000 0.000 6.404
ATOMIC_POSITIONS crystal
O 0.500 0.000 0.000
I 0.000 0.000 0.500
O 0.000 0.500 0.000
K 0.000 0.000 0.000
Tc 0.500 0.500 0.500
```

Output
Crystal system: tetragonal
D(E_F) (states/eV/cell): 3.79
Polymorph energy (0 for the lowest one) (meV/atom): 1841
Space-group type: P4/mmm, No. 123
Calculated volume (A^3/atom): 26.99
Uncorrected energy (eV per cell): -17.47
Energy relative to the elements, uncorrected (eV/atom): 1.09



First-principles (PBE) data for a relaxed structure of KTcIO2, as listed in Alexandria via LeMat-Bulk. Values from VASP.

```
&SYSTEM
  ibrav = 0, nat = 5, ntyp = 4
/
ATOMIC_SPECIES
O 16.00 O.upf
K 39.10 K.upf
I 126.90 I.upf
Tc 98.00 Tc.upf
CELL_PARAMETERS angstrom
-3.375 1.731 -1.542
1.469 -0.510 -3.787
-2.504 -5.132 -0.280
ATOMIC_POSITIONS crystal
O 0.000 0.500 0.000
K 0.500 0.500 0.500
I 0.000 0.000 0.500
Tc 0.000 0.000 0.000
O 0.500 0.000 0.000
```

Output
Crystal system: tetragonal
D(E_F) (states/eV/cell): 2.53
Polymorph energy (0 for the lowest one) (meV/atom): 0
Space-group type: P4/mmm, No. 123
Calculated volume (A^3/atom): 19.17
Uncorrected energy (eV per cell): -26.67
Energy relative to the elements, uncorrected (eV/atom): -0.75



First-principles (PBE) data for a relaxed structure of KTeI2O8, as listed in Alexandria via LeMat-Bulk. Values from VASP.

```
&SYSTEM
  ibrav = 0, nat = 12, ntyp = 4
/
ATOMIC_SPECIES
K 39.10 K.upf
O 16.00 O.upf
Te 127.60 Te.upf
I 126.90 I.upf
CELL_PARAMETERS angstrom
5.783 0.000 0.000
2.891 5.819 0.714
2.891 2.832 6.257
ATOMIC_POSITIONS crystal
K 0.500 0.500 0.500
O 0.368 0.987 0.779
Te 0.000 0.000 0.000
I 0.274 0.253 0.199
O 0.632 0.013 0.221
O 0.907 0.402 0.784
O 0.677 0.540 0.106
O 0.323 0.460 0.894
O 0.866 0.987 0.779
O 0.134 0.013 0.221
O 0.093 0.598 0.216
I 0.726 0.747 0.801
```

Output
Crystal system: monoclinic
D(E_F) (states/eV/cell): 1.77
Space-group type: C2/m, No. 12
Calculated volume (A^3/atom): 16.57
Uncorrected energy (eV per cell): -54.35
Energy relative to the elements, uncorrected (eV/atom): -0.61



First-principles (PBE) data for a relaxed structure of K2TeIO6, as listed in Alexandria via LeMat-Bulk. Values from VASP.

```
&SYSTEM
  ibrav = 0, nat = 10, ntyp = 4
/
ATOMIC_SPECIES
O 16.00 O.upf
I 126.90 I.upf
Te 127.60 Te.upf
K 39.10 K.upf
CELL_PARAMETERS angstrom
-2.425 -5.296 -0.865
3.019 -0.561 -5.024
3.435 -4.716 -0.873
ATOMIC_POSITIONS crystal
O 0.752 0.751 0.000
I 0.500 0.500 0.000
O 0.248 0.249 0.000
O 0.248 0.248 0.504
Te 0.000 0.000 0.000
O 0.249 0.752 0.000
O 0.751 0.248 0.000
K 0.250 0.750 0.500
K 0.750 0.250 0.500
O 0.752 0.752 0.496
```

Output
Crystal system: orthorhombic
D(E_F) (states/eV/cell): 2.13
Space-group type: Immm, No. 71
Calculated volume (A^3/atom): 14.43
Uncorrected energy (eV per cell): -46.31
Energy relative to the elements, uncorrected (eV/atom): -0.97



First-principles (PBE) data for a relaxed structure of K2TeI2O12, as listed in Alexandria via LeMat-Bulk. Values from VASP.

```
&SYSTEM
  ibrav = 0, nat = 17, ntyp = 4
/
ATOMIC_SPECIES
I 126.90 I.upf
O 16.00 O.upf
K 39.10 K.upf
Te 127.60 Te.upf
CELL_PARAMETERS angstrom
8.466 -3.188 -0.013
8.466 3.188 -0.013
7.274 0.000 5.378
ATOMIC_POSITIONS crystal
I 0.821 0.821 0.821
O 0.049 0.176 0.662
O 0.048 0.529 0.785
O 0.471 0.215 0.952
O 0.662 0.049 0.176
O 0.176 0.662 0.049
K 0.390 0.390 0.390
Te 0.000 0.000 0.000
I 0.179 0.179 0.179
O 0.529 0.785 0.048
O 0.215 0.952 0.471
O 0.338 0.951 0.824
O 0.785 0.048 0.529
O 0.824 0.338 0.951
O 0.952 0.471 0.215
K 0.610 0.610 0.610
O 0.951 0.824 0.338
```

Output
Crystal system: trigonal
Space-group type: R-3, No. 148
Calculated volume (A^3/atom): 17.11
Uncorrected energy (eV per cell): -73.51
Energy relative to the elements, uncorrected (eV/atom): -0.33



First-principles (PBE) data for a relaxed structure of KTe2IO, as listed in Alexandria via LeMat-Bulk. Values from VASP.

```
&SYSTEM
  ibrav = 0, nat = 5, ntyp = 4
/
ATOMIC_SPECIES
O 16.00 O.upf
Te 127.60 Te.upf
K 39.10 K.upf
I 126.90 I.upf
CELL_PARAMETERS angstrom
4.605 0.000 0.000
0.000 4.605 0.000
0.000 0.000 8.147
ATOMIC_POSITIONS crystal
O 0.000 0.000 0.000
Te 0.500 0.000 0.000
K 0.500 0.500 0.500
Te 0.000 0.500 0.000
I 0.000 0.000 0.500
```

Output
Crystal system: tetragonal
D(E_F) (states/eV/cell): 4.43
Polymorph energy (0 for the lowest one) (meV/atom): 0
Space-group type: P4/mmm, No. 123
Calculated volume (A^3/atom): 34.55
Uncorrected energy (eV per cell): -15.89
Energy relative to the elements, uncorrected (eV/atom): -0.40



First-principles (PBE) data for a relaxed structure of KTe2IO8, as listed in Alexandria via LeMat-Bulk. Values from VASP.

```
&SYSTEM
  ibrav = 0, nat = 12, ntyp = 4
/
ATOMIC_SPECIES
O 16.00 O.upf
Te 127.60 Te.upf
I 126.90 I.upf
K 39.10 K.upf
CELL_PARAMETERS angstrom
-1.957 2.082 4.166
5.374 -1.514 2.874
5.284 4.952 -1.543
ATOMIC_POSITIONS crystal
O 0.851 0.171 0.111
O 0.243 0.253 0.909
O 0.714 0.621 0.489
Te 0.521 0.396 0.737
O 0.286 0.379 0.511
O 0.757 0.747 0.091
O 0.149 0.829 0.889
I 0.000 0.000 0.000
O 0.271 0.868 0.247
Te 0.479 0.604 0.263
O 0.729 0.132 0.753
K 0.000 0.000 0.500
```

Output
Crystal system: triclinic
D(E_F) (states/eV/cell): 0.00
Space-group type: P-1, No. 2
Calculated volume (A^3/atom): 18.03
Uncorrected energy (eV per cell): -58.30
Energy relative to the elements, uncorrected (eV/atom): -0.81